# DyTiInAu

A geometry-optimized DyTiInAu structure (PBE-GGA, the Alexandria database).

Cell: 4.983 4.983 4.983 Å, 60.00 60.00 60.00°
Site moments in Bohr magnetons follow the coordinates.
Element x y z (fractional)
Ti: 0.250 0.250 0.250  1.11
In: 0.000 0.000 0.000  -0.01
Au: 0.500 0.500 0.500  0.03
Dy: 0.750 0.750 0.750  0.13

Summary:
- total magnetic moment (μB/f.u.) = 1.56
- energy of formation from the pure elements (eV/f.u.) = -1.35
- symmetry = No. 216
- calculated density (g/cm3) = 9.911
- calculated volume (Å³ per atom) = 21.9
- crystal system = cubic